(1)
Computed, not measured: an optimized crystal structure of ScWBr2 at the PBE level of DFT.

Computed properties:
E_form (uncorrected), eV per atom: 0.36
Relative energy among the computed polymorphs, meV/atom: 686
Volume, Å³ per atom: 20.795

Cell lengths 3.6904, 4.3519, 5.1797 Å; angles 90.00, 90.77, 90.00 degrees
Last column: nearest neighbours and their distance in Å.
Space group P2/m (No. 10)
Inequivalent atoms, fractional coordinates:
Sc  0.0000  0.0000  0.0000 [1 per cell]  4 Br 2.78
W  0.5000  0.0000  0.5000 [1 per cell]  4 Br 2.63
Br  0.2799  0.5000  0.7344 [2 per cell]  2 W 2.63, 2 Sc 2.78, 1 Br 2.94

***

(2)
Computed, not measured: an optimized crystal structure of NaCl at the PBE level of DFT.

Computed properties:
E_form (uncorrected), eV per atom: -1.81
Volume, Å³ per atom: 23.016

Cell lengths 5.6891, 5.6891, 5.6891 Å; angles 90.00, 90.00, 90.00 degrees
Last column: nearest neighbours and their distance in Å.
Space group Fm-3m (No. 225)
Inequivalent atoms, fractional coordinates:
Na  0.0000  0.0000  0.0000 [4 per cell]  6 Cl 2.84
Cl  0.0000  0.0000  0.5000 [4 per cell]  6 Na 2.84

***

(3)
Computed, not measured: an optimized crystal structure of SrTe4As at the PBE level of DFT.

Computed properties:
E_form (uncorrected), eV per atom: 0.02
Volume, Å³ per atom: 30.615

Cell lengths 9.0236, 9.0236, 9.0236 Å; angles 90.00, 90.00, 90.00 degrees
Last column: nearest neighbours and their distance in Å.
Space group F-43m (No. 216)
Inequivalent atoms, fractional coordinates:
Sr  0.0000  0.0000  0.0000 [4 per cell]  12 Te 3.74, 4 As 3.91
Te  0.1244  0.1244  0.6244 [16 per cell]  6 Te 3.17-3.21
As  0.2500  0.2500  0.2500 [4 per cell]  12 Te 3.74, 4 Sr 3.91